Entry 1:
Below is a relaxed structure of ScIr3N, with properties calculated at the PBE level.

Cell: 4.769 4.769 4.769 Å, 90.00 90.00 90.00°
Space group Pm-3m (No. 221)
Inequivalent atoms, fractional coordinates:
Sc1 0.000 0.000 0.000 (multiplicity 1)
Ir1 0.000 0.000 0.500 (multiplicity 3)
N1 0.500 0.500 0.500 (multiplicity 1)

offset from the most stable computed form = 271.58 kJ per mole of atoms
E_form (uncorrected) = 270.80 kJ/mol of atoms


Entry 2:
Below is a relaxed structure of Tm12Al5Cd2, with properties calculated at the PBE level.

Cell: 14.928 8.541 7.987 Å, 90.00 94.35 90.00°
Space group C2/m (No. 12)
Inequivalent atoms, fractional coordinates:
Tm1 0.044 0.000 0.193 (multiplicity 4)
Tm2 0.054 0.500 0.661 (multiplicity 4)
Tm3 0.144 0.221 0.902 (multiplicity 8)
Tm4 0.169 0.310 0.346 (multiplicity 8)
Al1 0.000 0.500 0.000 (multiplicity 2)
Al2 0.156 0.000 0.565 (multiplicity 4)
Al3 0.246 0.000 0.242 (multiplicity 4)
Cd1 0.000 0.186 0.500 (multiplicity 4)

formation energy = -0.05 eV/atom


Entry 3:
Below is a relaxed structure of Pr6As2SeS3, with properties calculated at the PBE level.

Cell: 18.310 4.205 8.401 Å, 90.00 102.93 90.00°
Space group C2/m (No. 12)
Inequivalent atoms, fractional coordinates:
Pr1 0.000 0.000 0.239 (multiplicity 4)
Pr2 0.167 0.500 0.085 (multiplicity 4)
Pr3 0.171 0.500 0.584 (multiplicity 4)
As1 0.166 0.000 0.832 (multiplicity 4)
Se1 0.000 0.500 0.500 (multiplicity 2)
S1 0.000 0.500 0.000 (multiplicity 2)
S2 0.166 0.000 0.334 (multiplicity 4)

E_form (uncorrected) = -177.93 kJ/mol of atoms


Entry 4:
Below is a relaxed structure of LuAgBiRh, with properties calculated at the PBE level.

Cell: 6.919 6.919 6.919 Å, 90.00 90.00 90.00°
Space group F-43m (No. 216)
Inequivalent atoms, fractional coordinates:
Lu1 0.000 0.000 0.000 (multiplicity 4)
Ag1 0.250 0.250 0.250 (multiplicity 4)
Bi1 0.000 0.000 0.500 (multiplicity 4)
Rh1 0.250 0.250 0.750 (multiplicity 4)

formation energy = -0.37 eV/atom


Entry 5:
Below is a relaxed structure of Sm2TaC3, with properties calculated at the PBE level.

Cell: 10.176 6.571 5.762 Å, 90.00 90.00 90.00°
Space group Cmc2_1 (No. 36)
Inequivalent atoms, fractional coordinates:
Sm1 0.165 0.158 0.000 (multiplicity 8)
Ta1 0.000 0.397 0.544 (multiplicity 4)
C1 0.000 0.105 0.650 (multiplicity 4)
C2 0.150 0.481 0.265 (multiplicity 8)

formation energy = -0.11 eV/atom


Entry 6:
Below is a relaxed structure of Y5Si4, with properties calculated at the PBE level.

Cell: 7.449 14.621 7.703 Å, 90.00 90.00 90.00°
Space group Pnma (No. 62)
Inequivalent atoms, fractional coordinates:
Y1 0.031 0.099 0.183 (multiplicity 8)
Y2 0.146 0.750 0.512 (multiplicity 4)
Y3 0.184 0.123 0.680 (multiplicity 8)
Si1 0.019 0.750 0.104 (multiplicity 4)
Si2 0.144 0.541 0.472 (multiplicity 8)
Si3 0.237 0.250 0.373 (multiplicity 4)

offset from the most stable computed form = 0.00 kJ per mole of atoms
E_form (uncorrected) = -74.99 kJ/mol of atoms


Entry 7:
Below is a relaxed structure of BeHg, with properties calculated at the PBE level.

Cell: 4.8623 4.8623 7.0162 Å, 90.00 90.00 120.00°
Space group P6_3/mmc (No. 194)
Inequivalent atoms, fractional coordinates:
Be1 0.3333 0.6667 0.0958 (multiplicity 4)
Hg1 0.0000 0.0000 0.2500 (multiplicity 2)
Hg2 0.3333 0.6667 0.7500 (multiplicity 2)

formation energy = 0.68 eV/atom
offset from the most stable computed form = 37.62 kJ per mole of atoms


Entry 8:
Below is a relaxed structure of Pm7In2Ni2, with properties calculated at the PBE level.

Cell: 8.130 11.382 7.111 Å, 90.00 90.00 90.00°
Space group Cmmm (No. 65)
Inequivalent atoms, fractional coordinates:
Pm1 0.000 0.000 0.000 (multiplicity 2)
Pm2 0.000 0.500 0.237 (multiplicity 4)
Pm3 0.250 0.250 0.247 (multiplicity 8)
In1 0.173 0.000 0.500 (multiplicity 4)
Ni1 0.000 0.294 0.000 (multiplicity 4)

formation energy = -0.20 eV/atom